1.
First-principles (PBE) data for a relaxed structure of Dy2Y3Tl, as listed in Alexandria.

Calculated values
Energy above the lowest structure with this stoichiometry in meV per atom: 125

Cell and atoms, written as POSCAR:
```
Dy2Y3Tl
1.0
6.550 0.000 0.000
0.000 10.060 0.000
0.000 0.000 5.598
Dy Y Tl
4 6 2
Direct
0.202 0.199 0.000
0.298 0.699 0.500
0.702 0.301 0.500
0.798 0.801 0.000
0.000 0.000 0.500
0.199 0.369 0.500
0.301 0.869 0.000
0.500 0.500 0.000
0.699 0.131 0.000
0.801 0.631 0.500
0.000 0.500 0.000
0.500 0.000 0.500
```


2.
First-principles (PBE) data for a relaxed structure of DyY5Tl6, as listed in Alexandria.

Cell and atoms, written as POSCAR:
```
DyY5Tl6
1.0
4.634 -8.084 0.000
4.634 8.084 0.000
-3.104 0.000 4.388
Dy Y Tl
1 5 6
Direct
0.000 0.000 0.000
0.167 0.833 0.500
0.333 0.667 0.000
0.500 0.500 0.500
0.667 0.333 0.000
0.833 0.167 0.500
0.083 0.416 0.250
0.249 0.249 0.750
0.416 0.083 0.250
0.584 0.917 0.750
0.751 0.751 0.250
0.917 0.584 0.750
```


3.
First-principles (PBE) data for a relaxed structure of DyY2Tl, as listed in Alexandria.

Calculated values
Energy above the lowest structure with this stoichiometry in meV per atom: 176

Cell and atoms, written as POSCAR:
```
DyY2Tl
1.0
0.000 3.876 3.876
3.876 0.000 3.876
3.876 3.876 0.000
Dy Y Tl
1 2 1
Direct
0.000 0.000 0.000
0.500 0.500 0.500
0.750 0.750 0.750
0.250 0.250 0.250
```


4.
First-principles (PBE) data for a relaxed structure of Dy4YTl5, as listed in Alexandria.

Cell and atoms, written as POSCAR:
```
Dy4YTl5
1.0
3.759 0.000 0.000
0.000 3.759 0.000
0.000 0.000 19.360
Dy Y Tl
4 1 5
Direct
0.000 0.000 0.100
0.000 0.000 0.300
0.000 0.000 0.700
0.000 0.000 0.900
0.000 0.000 0.500
0.500 0.500 0.000
0.500 0.500 0.199
0.500 0.500 0.399
0.500 0.500 0.601
0.500 0.500 0.801
```


5.
First-principles (PBE) data for a relaxed structure of DyY2Tl, as listed in Alexandria.

Calculated values
Energy above the lowest structure with this stoichiometry in meV per atom: 23

Cell and atoms, written as POSCAR:
```
DyY2Tl
1.0
3.633 0.000 0.000
0.000 3.633 0.000
0.000 0.000 9.118
Dy Y Tl
1 2 1
Direct
0.000 0.000 0.000
0.500 0.500 0.272
0.500 0.500 0.728
0.000 0.000 0.500
```


6.
First-principles (PBE) data for a relaxed structure of DyY2Tl, as listed in Alexandria.

Calculated values
Energy above the lowest structure with this stoichiometry in meV per atom: 158

Cell and atoms, written as POSCAR:
```
DyY2Tl
1.0
0.000 3.874 3.874
3.874 0.000 3.874
3.874 3.874 0.000
Dy Y Tl
1 2 1
Direct
0.000 0.000 0.000
0.250 0.250 0.250
0.750 0.750 0.750
0.500 0.500 0.500
```


7.
First-principles (PBE) data for a relaxed structure of Dy3YTl2, as listed in Alexandria.

Calculated values
Energy above the lowest structure with this stoichiometry in meV per atom: 0

Cell and atoms, written as POSCAR:
```
Dy3YTl2
1.0
5.091 0.000 0.000
0.000 9.962 0.000
0.000 0.000 6.844
Dy Y Tl
6 2 4
Direct
0.000 0.043 0.000
0.000 0.312 0.377
0.000 0.688 0.877
0.000 0.957 0.500
0.500 0.187 0.719
0.500 0.813 0.219
0.500 0.456 0.095
0.500 0.544 0.595
0.000 0.368 0.839
0.000 0.632 0.339
0.500 0.133 0.256
0.500 0.867 0.756
```


8.
First-principles (PBE) data for a relaxed structure of Dy12Y7Tl, as listed in Alexandria.

Cell and atoms, written as POSCAR:
```
Dy12Y7Tl
1.0
6.132 3.541 5.110
-6.132 3.541 5.110
0.000 -7.081 5.110
Dy Y Tl
12 7 1
Direct
0.006 0.337 0.888
0.112 0.994 0.663
0.124 0.342 0.467
0.337 0.888 0.006
0.342 0.467 0.124
0.467 0.124 0.342
0.533 0.876 0.658
0.658 0.533 0.876
0.663 0.112 0.994
0.876 0.658 0.533
0.888 0.006 0.337
0.994 0.663 0.112
0.217 0.627 0.762
0.238 0.783 0.373
0.373 0.238 0.783
0.500 0.500 0.500
0.627 0.762 0.217
0.762 0.217 0.627
0.783 0.373 0.238
0.000 0.000 0.000
```


9.
First-principles (PBE) data for a relaxed structure of DyY2Tl4, as listed in Alexandria.

Cell and atoms, written as POSCAR:
```
DyY2Tl4
1.0
-3.744 3.744 3.747
3.744 -3.744 3.747
3.744 3.744 -3.747
Dy Y Tl
1 2 4
Direct
0.000 0.000 0.000
0.000 0.500 0.500
0.500 0.000 0.500
0.000 0.000 0.500
0.000 0.500 0.000
0.500 0.000 0.000
0.500 0.500 0.500
```


10.
First-principles (PBE) data for a relaxed structure of DyYTl2, as listed in Alexandria.

Calculated values
Energy above the lowest structure with this stoichiometry in meV per atom: 0

Cell and atoms, written as POSCAR:
```
DyYTl2
1.0
3.795 0.000 0.000
0.000 3.795 0.000
0.000 0.000 7.581
Dy Y Tl
1 1 2
Direct
0.000 0.000 0.000
0.000 0.000 0.500
0.500 0.500 0.249
0.500 0.500 0.751
```


11.
First-principles (PBE) data for a relaxed structure of DyY2Tl, as listed in Alexandria.

Calculated values
Energy above the lowest structure with this stoichiometry in meV per atom: 12

Cell and atoms, written as POSCAR:
```
DyY2Tl
1.0
4.877 0.000 0.000
0.000 4.877 0.000
0.000 0.000 4.840
Dy Y Tl
1 2 1
Direct
0.000 0.000 0.000
0.000 0.500 0.500
0.500 0.000 0.500
0.500 0.500 0.000
```


12.
First-principles (PBE) data for a relaxed structure of Dy2YTl2, as listed in Alexandria.

Calculated values
Energy above the lowest structure with this stoichiometry in meV per atom: 141

Cell and atoms, written as POSCAR:
```
Dy2YTl2
1.0
5.254 0.000 0.000
-2.627 4.550 0.000
0.000 0.000 6.509
Dy Y Tl
2 1 2
Direct
0.333 0.667 0.172
0.667 0.333 0.828
0.000 0.000 0.500
0.333 0.667 0.692
0.667 0.333 0.308
```


Here are the calculated ΔH_f (0 K) numbers, same order: 13 -370 -26 -348 -179 -45 -278 188 -245 -362 -190 -151 (meV/atom).